Entry 1:
Below is an optimized crystal structure of TbPr2ErTl2, with properties calculated at the PBE level.

E_tot: -4.18 eV per atom
Energy of formation from the pure elements: -0.27 eV/atom
SG: Pmc2_1
Theoretical density: 9.23 Mg/m³

Unit cell a=5.1547 b=10.2522 c=6.9259 alpha=90.00 beta=90.00 gamma=90.00
With the nearest neighbours (Å) after each atom.
Fractional coordinates of all 12 atoms:
Tb 0.0000 0.0424 0.0000  5 Tl 3.24-3.50, 2 Er 3.55, 2 Tb 3.57
Tb 0.0000 0.9576 0.5000  5 Tl 3.24-3.50, 2 Er 3.55, 2 Tb 3.57
Pr 0.0000 0.3126 0.3699  4 Tl 3.28-3.44, 2 Pr 3.49
Pr 0.0000 0.6874 0.8699  4 Tl 3.28-3.44, 2 Pr 3.49
Pr 0.5000 0.4548 0.1020  5 Tl 3.32-3.64, 4 Pr 3.49-3.59
Pr 0.5000 0.5452 0.6020  5 Tl 3.32-3.64, 4 Pr 3.49-3.59
Er 0.5000 0.1850 0.7167  4 Tl 3.15-3.24
Er 0.5000 0.8150 0.2167  4 Tl 3.15-3.24
Tl 0.0000 0.3529 0.8398  2 Er 3.21, 4 Pr 3.28-3.44, 1 Tb 3.37
Tl 0.0000 0.6471 0.3398  2 Er 3.21, 4 Pr 3.28-3.44, 1 Tb 3.37
Tl 0.5000 0.1211 0.2586  2 Er 3.15-3.24, 4 Tb 3.24-3.50, 2 Pr 3.33
Tl 0.5000 0.8789 0.7586  2 Er 3.15-3.24, 4 Tb 3.24-3.50, 2 Pr 3.33

Entry 2:
Below is an optimized crystal structure of TbPrEr2Tl2, with properties calculated at the PBE level.

E_tot: -4.14 eV per atom
Energy of formation from the pure elements: -0.26 eV/atom
SG: Pmc2_1
Theoretical density: 9.81 Mg/m³

Unit cell a=5.1374 b=10.0851 c=6.8131 alpha=90.00 beta=90.00 gamma=90.00
With the nearest neighbours (Å) after each atom.
Fractional coordinates of all 12 atoms:
Tb 0.0000 0.1927 0.0000  4 Tl 3.20-3.40, 2 Pr 3.52
Tb 0.0000 0.8073 0.5000  4 Tl 3.20-3.40, 2 Pr 3.52
Pr 0.5000 0.0416 0.2743  5 Tl 3.29-3.56, 2 Pr 3.51, 2 Tb 3.52
Pr 0.5000 0.9584 0.7743  5 Tl 3.29-3.56, 2 Pr 3.51, 2 Tb 3.52
Er 0.0000 0.4574 0.3682  5 Tl 3.22-3.53, 4 Er 3.51
Er 0.0000 0.5426 0.8682  5 Tl 3.22-3.53, 4 Er 3.51
Er 0.5000 0.3189 0.6530  4 Tl 3.14-3.22, 2 Er 3.51
Er 0.5000 0.6811 0.1530  4 Tl 3.14-3.22, 2 Er 3.51
Tl 0.0000 0.1430 0.5369  2 Tb 3.20-3.40, 3 Er 3.22-3.37, 4 Pr 3.29-3.56
Tl 0.0000 0.8570 0.0369  2 Tb 3.20-3.40, 3 Er 3.22-3.37, 4 Pr 3.29-3.56
Tl 0.5000 0.3704 0.1149  4 Er 3.14-3.22, 2 Tb 3.23, 1 Pr 3.49
Tl 0.5000 0.6296 0.6149  4 Er 3.14-3.22, 2 Tb 3.23, 1 Pr 3.49

Entry 3:
Below is an optimized crystal structure of TbPrErTl, with properties calculated at the PBE level.

E_tot: -4.14 eV per atom
Energy above the lowest structure with this stoichiometry: 127 meV/atom
Energy of formation from the pure elements: -0.06 eV/atom
SG: F-43m
Theoretical density: 9.28 Mg/m³

Unit cell a=5.5390 b=5.5390 c=5.5390 alpha=60.00 beta=60.00 gamma=60.00
With the nearest neighbours (Å) after each atom.
Fractional coordinates of all 4 atoms:
Tb 0.0000 0.0000 0.0000  4 Er 3.39, 4 Tl 3.39
Pr 0.5000 0.5000 0.5000  4 Er 3.39, 4 Tl 3.39
Er 0.7500 0.7500 0.7500  4 Tb 3.39, 4 Pr 3.39
Tl 0.2500 0.2500 0.2500  4 Tb 3.39, 4 Pr 3.39

Entry 4:
Below is an optimized crystal structure of Tb2PrErTl4, with properties calculated at the PBE level.

E_tot: -3.86 eV per atom
Energy of formation from the pure elements: -0.35 eV/atom
SG: R-3m
Theoretical density: 10.63 Mg/m³

Unit cell a=9.4154 b=9.4154 c=9.4154 alpha=33.42 beta=33.42 gamma=33.42
With the nearest neighbours (Å) after each atom.
Fractional coordinates of all 8 atoms:
Tb 0.2491 0.2491 0.2491  8 Tl 3.26-3.41
Tb 0.7509 0.7509 0.7509  8 Tl 3.26-3.41
Pr 0.0000 0.0000 0.0000  8 Tl 3.34-3.38
Er 0.5000 0.5000 0.5000  8 Tl 3.27-3.30
Tl 0.1270 0.1270 0.1270  4 Tb 3.26-3.33, 3 Er 3.30, 1 Pr 3.38
Tl 0.3772 0.3772 0.3772  1 Er 3.27, 4 Tb 3.31-3.41, 3 Pr 3.34
Tl 0.6228 0.6228 0.6228  1 Er 3.27, 4 Tb 3.31-3.41, 3 Pr 3.34
Tl 0.8730 0.8730 0.8730  4 Tb 3.26-3.33, 3 Er 3.30, 1 Pr 3.38

Entry 5:
Below is an optimized crystal structure of TbPrErTl, with properties calculated at the PBE level.

E_tot: -4.27 eV per atom
Energy above the lowest structure with this stoichiometry: 0 meV/atom
Energy of formation from the pure elements: -0.18 eV/atom
SG: Pmmm
Theoretical density: 9.44 Mg/m³

Unit cell a=4.8448 b=4.9059 c=4.9706 alpha=90.00 beta=90.00 gamma=90.00
With the nearest neighbours (Å) after each atom.
Fractional coordinates of all 4 atoms:
Tb 0.0000 0.0000 0.0000  4 Pr 3.45, 4 Tl 3.47, 4 Er 3.49
Pr 0.5000 0.5000 0.0000  4 Tb 3.45, 4 Er 3.47, 4 Tl 3.49
Er 0.0000 0.5000 0.5000  4 Tl 3.45, 4 Pr 3.47, 4 Tb 3.49
Tl 0.5000 0.0000 0.5000  4 Er 3.45, 4 Tb 3.47, 4 Pr 3.49

Entry 6:
Below is an optimized crystal structure of Tb2Pr6Er3Tl, with properties calculated at the PBE level.

E_tot: -4.51 eV per atom
Energy of formation from the pure elements: -0.01 eV/atom
SG: C2/m
Theoretical density: 7.88 Mg/m³

Unit cell a=6.2434 b=6.2434 c=11.8699 alpha=95.07 beta=95.07 gamma=120.14
With the nearest neighbours (Å) after each atom.
Fractional coordinates of all 12 atoms:
Tb 0.1664 0.8336 0.0000  6 Pr 3.60, 3 Tl 3.60-3.61, 3 Tb 3.60
Tb 0.8336 0.1664 0.0000  6 Pr 3.60, 3 Tl 3.60-3.61, 3 Tb 3.60
Pr 0.0887 0.4167 0.7499  6 Pr 3.54-3.64, 1 Tl 3.57, 3 Er 3.57-3.60, 2 Tb 3.60
Pr 0.2557 0.2557 0.2512  6 Pr 3.54-3.64, 3 Er 3.57-3.59, 1 Tl 3.58, 2 Tb 3.60
Pr 0.4167 0.0887 0.7499  6 Pr 3.54-3.64, 1 Tl 3.57, 3 Er 3.57-3.60, 2 Tb 3.60
Pr 0.5833 0.9113 0.2501  6 Pr 3.54-3.64, 1 Tl 3.57, 3 Er 3.57-3.60, 2 Tb 3.60
Pr 0.7443 0.7443 0.7488  6 Pr 3.54-3.64, 3 Er 3.57-3.59, 1 Tl 3.58, 2 Tb 3.60
Pr 0.9113 0.5833 0.2501  6 Pr 3.54-3.64, 1 Tl 3.57, 3 Er 3.57-3.60, 2 Tb 3.60
Er 0.0000 0.0000 0.5000  6 Pr 3.57-3.59, 6 Er 3.60
Er 0.3326 0.6674 0.5000  6 Pr 3.57-3.60, 6 Er 3.59-3.62
Er 0.6674 0.3326 0.5000  6 Pr 3.57-3.60, 6 Er 3.59-3.62
Tl 0.5000 0.5000 0.0000  6 Pr 3.57-3.58, 6 Tb 3.60-3.61

Entry 7:
Below is an optimized crystal structure of Tb6Pr2Er3Tl, with properties calculated at the PBE level.

E_tot: -4.48 eV per atom
Energy of formation from the pure elements: -0.03 eV/atom
SG: C2/m
Theoretical density: 8.59 Mg/m³

Unit cell a=6.1164 b=6.1164 c=11.7708 alpha=94.98 beta=94.98 gamma=120.03
With the nearest neighbours (Å) after each atom.
Fractional coordinates of all 12 atoms:
Tb 0.0839 0.4114 0.7525  6 Tb 3.47-3.56, 3 Er 3.51-3.54, 1 Tl 3.55, 2 Pr 3.58
Tb 0.2434 0.2434 0.2465  6 Tb 3.47-3.56, 3 Er 3.50-3.53, 1 Tl 3.56, 2 Pr 3.58
Tb 0.4114 0.0839 0.7525  6 Tb 3.47-3.56, 3 Er 3.51-3.54, 1 Tl 3.55, 2 Pr 3.58
Tb 0.5886 0.9161 0.2475  6 Tb 3.47-3.56, 3 Er 3.51-3.54, 1 Tl 3.55, 2 Pr 3.58
Tb 0.7566 0.7566 0.7535  6 Tb 3.47-3.56, 3 Er 3.50-3.53, 1 Tl 3.56, 2 Pr 3.58
Tb 0.9161 0.5886 0.2475  6 Tb 3.47-3.56, 3 Er 3.51-3.54, 1 Tl 3.55, 2 Pr 3.58
Pr 0.3338 0.6662 0.5000  3 Pr 3.52-3.53, 3 Tl 3.53-3.54, 6 Tb 3.58
Pr 0.6662 0.3338 0.5000  3 Pr 3.52-3.53, 3 Tl 3.53-3.54, 6 Tb 3.58
Er 0.1667 0.8333 0.0000  6 Tb 3.50-3.54, 6 Er 3.53
Er 0.5000 0.5000 0.0000  6 Tb 3.51-3.53, 6 Er 3.53
Er 0.8333 0.1667 0.0000  6 Tb 3.50-3.54, 6 Er 3.53
Tl 0.0000 0.0000 0.5000  6 Pr 3.53-3.54, 6 Tb 3.55-3.56

Entry 8:
Below is an optimized crystal structure of Tb3Pr6Er2Tl, with properties calculated at the PBE level.

E_tot: -4.51 eV per atom
Energy of formation from the pure elements: 0.00 eV/atom
SG: C2/m
Theoretical density: 7.80 Mg/m³

Unit cell a=6.2685 b=6.2685 c=11.8604 alpha=95.13 beta=95.13 gamma=120.19
With the nearest neighbours (Å) after each atom.
Fractional coordinates of all 12 atoms:
Tb 0.0000 0.0000 0.0000  6 Tb 3.61-3.62, 6 Pr 3.61-3.62
Tb 0.3321 0.6679 0.0000  6 Tb 3.60-3.65, 6 Pr 3.60-3.63
Tb 0.6679 0.3321 0.0000  6 Tb 3.60-3.65, 6 Pr 3.60-3.63
Pr 0.0900 0.4184 0.2533  1 Tl 3.53, 6 Pr 3.56-3.65, 2 Er 3.56-3.57, 3 Tb 3.61-3.63
Pr 0.2539 0.2539 0.7485  6 Pr 3.56-3.65, 1 Tl 3.56, 2 Er 3.58, 3 Tb 3.60-3.62
Pr 0.4184 0.0900 0.2533  1 Tl 3.53, 6 Pr 3.56-3.65, 2 Er 3.56-3.57, 3 Tb 3.61-3.63
Pr 0.5816 0.9100 0.7467  1 Tl 3.53, 6 Pr 3.56-3.65, 2 Er 3.56-3.57, 3 Tb 3.61-3.63
Pr 0.7461 0.7461 0.2515  6 Pr 3.56-3.65, 1 Tl 3.56, 2 Er 3.58, 3 Tb 3.60-3.62
Pr 0.9100 0.5816 0.7467  1 Tl 3.53, 6 Pr 3.56-3.65, 2 Er 3.56-3.57, 3 Tb 3.61-3.63
Er 0.1661 0.8339 0.5000  6 Pr 3.56-3.58, 3 Tl 3.61-3.63, 3 Er 3.61-3.62
Er 0.8339 0.1661 0.5000  6 Pr 3.56-3.58, 3 Tl 3.61-3.63, 3 Er 3.61-3.62
Tl 0.5000 0.5000 0.5000  6 Pr 3.53-3.56, 6 Er 3.61-3.63

Entry 9:
Below is an optimized crystal structure of Tb6Pr3Er2Tl, with properties calculated at the PBE level.

E_tot: -4.47 eV per atom
Energy of formation from the pure elements: -0.01 eV/atom
SG: C2/m
Theoretical density: 8.31 Mg/m³

Unit cell a=6.1979 b=6.1979 c=11.6989 alpha=95.10 beta=95.10 gamma=120.03
With the nearest neighbours (Å) after each atom.
Fractional coordinates of all 12 atoms:
Tb 0.0798 0.4077 0.2417  1 Tl 3.44, 2 Er 3.48, 6 Tb 3.52-3.61, 3 Pr 3.61-3.64
Tb 0.2481 0.2481 0.7570  1 Tl 3.46, 2 Er 3.48, 6 Tb 3.52-3.61, 3 Pr 3.60-3.63
Tb 0.4077 0.0798 0.2417  1 Tl 3.44, 2 Er 3.48, 6 Tb 3.52-3.61, 3 Pr 3.61-3.64
Tb 0.5923 0.9202 0.7583  1 Tl 3.44, 2 Er 3.48, 6 Tb 3.52-3.61, 3 Pr 3.61-3.64
Tb 0.7519 0.7519 0.2430  1 Tl 3.46, 2 Er 3.48, 6 Tb 3.52-3.61, 3 Pr 3.60-3.63
Tb 0.9202 0.5923 0.7583  1 Tl 3.44, 2 Er 3.48, 6 Tb 3.52-3.61, 3 Pr 3.61-3.64
Pr 0.1673 0.8327 0.5000  6 Pr 3.57-3.59, 6 Tb 3.60-3.64
Pr 0.5000 0.5000 0.5000  6 Pr 3.57-3.58, 6 Tb 3.61-3.63
Pr 0.8327 0.1673 0.5000  6 Pr 3.57-3.59, 6 Tb 3.60-3.64
Er 0.3339 0.6661 0.0000  6 Tb 3.48, 3 Er 3.57-3.58, 3 Tl 3.57-3.59
Er 0.6661 0.3339 0.0000  6 Tb 3.48, 3 Er 3.57-3.58, 3 Tl 3.57-3.59
Tl 0.0000 0.0000 0.0000  6 Tb 3.44-3.46, 6 Er 3.57-3.59

Entry 10:
Below is an optimized crystal structure of TbPrErTm, with properties calculated at the PBE level.

E_tot: -4.59 eV per atom
Energy above the lowest structure with this stoichiometry: 0 meV/atom
Energy of formation from the pure elements: 0.03 eV/atom
SG: R3m
Theoretical density: 8.21 Mg/m³

Unit cell a=11.7461 b=11.7461 c=11.7461 alpha=17.55 beta=17.55 gamma=17.55
With the nearest neighbours (Å) after each atom.
Fractional coordinates of all 4 atoms:
Tb 0.0000 0.0000 0.0000  3 Er 3.50, 3 Tm 3.50, 6 Tb 3.58
Pr 0.1662 0.1662 0.1662  6 Pr 3.58, 3 Er 3.59, 3 Tm 3.62
Er 0.4148 0.4148 0.4148  3 Tb 3.50, 6 Er 3.58, 3 Pr 3.59
Tm 0.5852 0.5852 0.5852  3 Tb 3.50, 6 Tm 3.58, 3 Pr 3.62

Entry 11:
Below is an optimized crystal structure of Tb2PrErTm2, with properties calculated at the PBE level.

E_tot: -4.31 eV per atom
Energy of formation from the pure elements: 0.28 eV/atom
SG: Pnnm
Theoretical density: 8.18 Mg/m³

Unit cell a=6.5595 b=17.6115 c=3.3866 alpha=90.00 beta=90.00 gamma=90.00
With the nearest neighbours (Å) after each atom.
Fractional coordinates of all 12 atoms:
Tb 0.2218 0.1503 0.0000  1 Pr 3.21, 4 Tm 3.30-3.40, 2 Tb 3.39, 2 Er 3.46
Tb 0.2782 0.6503 0.5000  1 Pr 3.21, 4 Tm 3.30-3.40, 2 Tb 3.39, 2 Er 3.46
Tb 0.7218 0.3497 0.5000  1 Pr 3.21, 4 Tm 3.30-3.40, 2 Tb 3.39, 2 Er 3.46
Tb 0.7782 0.8497 0.0000  1 Pr 3.21, 4 Tm 3.30-3.40, 2 Tb 3.39, 2 Er 3.46
Pr 0.0000 0.5000 0.5000  2 Tb 3.21, 2 Pr 3.39, 2 Tm 3.54
Pr 0.5000 0.0000 0.0000  2 Tb 3.21, 2 Pr 3.39, 2 Tm 3.54
Er 0.0000 0.0000 0.5000  2 Er 3.39, 4 Tb 3.46, 4 Pr 3.69
Er 0.5000 0.5000 0.0000  2 Er 3.39, 4 Tb 3.46, 4 Pr 3.69
Tm 0.2257 0.3174 0.5000  4 Tb 3.30-3.40, 2 Tm 3.39, 1 Pr 3.54
Tm 0.2743 0.8174 0.0000  4 Tb 3.30-3.40, 2 Tm 3.39, 1 Pr 3.54
Tm 0.7257 0.1826 0.0000  4 Tb 3.30-3.40, 2 Tm 3.39, 1 Pr 3.54
Tm 0.7743 0.6826 0.5000  4 Tb 3.30-3.40, 2 Tm 3.39, 1 Pr 3.54

Entry 12:
Below is an optimized crystal structure of Tb3PrEr2Tm6, with properties calculated at the PBE level.

E_tot: -4.53 eV per atom
Energy of formation from the pure elements: 0.02 eV/atom
SG: C2/m
Theoretical density: 8.79 Mg/m³

Unit cell a=6.1072 b=6.1072 c=11.6650 alpha=94.99 beta=94.99 gamma=119.95
With the nearest neighbours (Å) after each atom.
Fractional coordinates of all 12 atoms:
Tb 0.0000 0.0000 0.0000  6 Tm 3.51-3.52, 6 Tb 3.52-3.53
Tb 0.3331 0.6669 0.0000  6 Tm 3.51-3.52, 6 Tb 3.52-3.53
Tb 0.6669 0.3331 0.0000  6 Tm 3.51-3.52, 6 Tb 3.52-3.53
Pr 0.5000 0.5000 0.5000  6 Er 3.52-3.53, 6 Tm 3.53
Er 0.1667 0.8333 0.5000  6 Tm 3.52-3.53, 3 Pr 3.52-3.53, 3 Er 3.53
Er 0.8333 0.1667 0.5000  6 Tm 3.52-3.53, 3 Pr 3.52-3.53, 3 Er 3.53
Tm 0.0823 0.4164 0.2492  3 Tb 3.51-3.52, 6 Tm 3.52-3.54, 2 Er 3.53, 1 Pr 3.53
Tm 0.2493 0.2493 0.7506  3 Tb 3.51-3.52, 6 Tm 3.52-3.54, 2 Er 3.52, 1 Pr 3.53
Tm 0.4164 0.0823 0.2492  3 Tb 3.51-3.52, 6 Tm 3.52-3.54, 2 Er 3.53, 1 Pr 3.53
Tm 0.5836 0.9177 0.7508  3 Tb 3.51-3.52, 6 Tm 3.52-3.54, 2 Er 3.53, 1 Pr 3.53
Tm 0.7507 0.7507 0.2494  3 Tb 3.51-3.52, 6 Tm 3.52-3.54, 2 Er 3.52, 1 Pr 3.53
Tm 0.9177 0.5836 0.7508  3 Tb 3.51-3.52, 6 Tm 3.52-3.54, 2 Er 3.53, 1 Pr 3.53

Computed Fermi-level density of states (states/eV/f.u.) in order:
6.39 5.95 5.49 6.88 5.86 13.50 15.49 14.50 16.62 5.52 9.35 15.63